# Cs3AgBi

A relaxed structure of Cs3AgBi (PBE, Alexandria via LeMat-Bulk).

## Properties
DFT total energy (eV/atom): -2.095
Energy above the most stable polymorph in this dataset (meV per atom): 0
Energy of formation from the pure elements (meV per atom): -236.4
Volume (Å³/cell): 1074

abc: 7.546 10.500 13.999
angles: 90.00 104.58 90.00
Space group P2_1/c (No. 14)
One atom of each set of equivalent atoms:
1 Cs 0.155 0.013 0.147 (multiplicity 4)
2 Cs 0.260 0.057 0.689 (multiplicity 4)
3 Cs 0.279 0.683 0.957 (multiplicity 4)
4 Ag 0.376 0.092 0.959 (multiplicity 4)
5 Bi 0.148 0.194 0.396 (multiplicity 4)